Material: Zn2CuIr
Method: DFT, PBE
State: optimized geometry

a b c (Å): 3.8816 3.8839 3.5930
angles (deg): 90.00 90.00 90.00
Atoms (fractional coordinates):
Zn: 0.0000 0.0000 0.0000
Zn: 0.5000 0.5000 0.0000
Ir: 0.0000 0.5000 0.5000
Cu: 0.5000 0.0000 0.5000

Properties
VASP energy: -4.066 eV per atom
formation energy: -0.1900 eV/atom
symmetry: P4/mmm, No. 123